[1]
Si3Pt2 after structural relaxation, computed with PBE.

Computed properties:
As for the total moment: 0.00 μB per formula unit. The value obtained for the uncorrected formation energy is -0.524 eV per atom. Its theoretical density is 9.70 g/cm³. Its total energy is -61.94 eV per cell. The space group is P6_3/mmc (194).

Cell: 3.9328 3.9328 12.1228 Å, 90.00 90.00 120.00°
With the nearest neighbours (Å) after each atom.
Positions (direct):
Si: 0.0000 0.0000 0.2500  6 Pt 2.65
Si: 0.0000 0.0000 0.7500  6 Pt 2.65
Si: 0.3333 0.6667 0.0647  4 Pt 2.43-2.44
Si: 0.3333 0.6667 0.4353  4 Pt 2.43-2.44
Si: 0.6667 0.3333 0.5647  4 Pt 2.43-2.44
Si: 0.6667 0.3333 0.9353  4 Pt 2.43-2.44
Pt: 0.3333 0.6667 0.6369  7 Si 2.43-2.65
Pt: 0.3333 0.6667 0.8631  7 Si 2.43-2.65
Pt: 0.6667 0.3333 0.1369  7 Si 2.43-2.65
Pt: 0.6667 0.3333 0.3631  7 Si 2.43-2.65


[2]
Ag2SnBr after structural relaxation, computed with PBE.

Computed properties:
As for the total moment: 0.00 μB per formula unit. The value obtained for the uncorrected formation energy is 0.319 eV per atom. The value obtained for the distance to the lowest polymorph of the same formula is 275 meV per atom. Its theoretical density is 7.22 g/cm³. Its total energy is -10.10 eV per cell. The space group is Fm-3m (225).

Cell: 5.1259 5.1259 5.1259 Å, 60.00 60.00 60.00°
With the nearest neighbours (Å) after each atom.
Positions (direct):
Ag: 0.2500 0.2500 0.2500  4 Sn 3.14, 4 Br 3.14
Ag: 0.7500 0.7500 0.7500  4 Sn 3.14, 4 Br 3.14
Sn: 0.0000 0.0000 0.0000  8 Ag 3.14
Br: 0.5000 0.5000 0.5000  8 Ag 3.14


[3]
CdBTe2 after structural relaxation, computed with PBE.

Computed properties:
As for the total moment: 0.00 μB per formula unit. The value obtained for the uncorrected formation energy is 0.441 eV per atom. The value obtained for the distance to the lowest polymorph of the same formula is 85 meV per atom. Its theoretical density is 4.38 g/cm³. Its total energy is -12.11 eV per cell. The space group is R-3m (166).

Cell: 7.6731 7.6731 7.6731 Å, 36.56 36.56 36.56°
With the nearest neighbours (Å) after each atom.
Positions (direct):
Cd: 0.0000 0.0000 0.0000  6 Te 3.17
B: 0.5000 0.5000 0.5000  2 Te 2.04
Te: 0.4048 0.4048 0.4048  1 B 2.04
Te: 0.5952 0.5952 0.5952  1 B 2.04


[4]
NbIn2Br2 after structural relaxation, computed with PBE.

Computed properties:
As for the total moment: 2.92 μB per formula unit. The value obtained for the uncorrected formation energy is 0.373 eV per atom. The value obtained for the distance to the lowest polymorph of the same formula is 0 meV per atom. Its theoretical density is 5.55 g/cm³. Its total energy is -34.05 eV per cell. The space group is P4/mbm (127).

Cell: 7.6500 7.6500 4.9341 Å, 90.00 90.00 90.00°
With the nearest neighbours (Å) after each atom.
Positions (direct):
Nb: 0.0000 0.0000 0.0000  4 In 2.93
Nb: 0.5000 0.5000 0.0000  4 In 2.93
In: 0.1465 0.3535 0.0000  2 Nb 2.93, 2 Br 3.05, 1 In 3.17
In: 0.3535 0.8535 0.0000  2 Nb 2.93, 2 Br 3.05, 1 In 3.17
In: 0.6465 0.1465 0.0000  2 Nb 2.93, 2 Br 3.05, 1 In 3.17
In: 0.8535 0.6465 0.0000  2 Nb 2.93, 2 Br 3.05, 1 In 3.17
Br: 0.1875 0.6875 0.5000  2 In 3.05
Br: 0.3125 0.1875 0.5000  2 In 3.05
Br: 0.6875 0.8125 0.5000  2 In 3.05
Br: 0.8125 0.3125 0.5000  2 In 3.05


[5]
Er4Tm10Sc after structural relaxation, computed with PBE.

Computed properties:
As for the total moment: 0.00 μB per formula unit. Its theoretical density is 8.58 g/cm³. Its total energy is -65.44 eV per cell. The space group is I4/mmm (139). The formation enthalpy at 0 K comes out at 3.9 eV/f.u.

Cell: 8.7332 8.7332 8.7332 Å, 100.49 100.49 129.49°
With the nearest neighbours (Å) after each atom.
Positions (direct):
Er: 0.2347 0.2347 0.4694  8 Tm 3.37-3.44, 1 Sc 3.71, 2 Er 3.76
Er: 0.2347 0.7653 0.0000  8 Tm 3.37-3.44, 1 Sc 3.71, 2 Er 3.76
Er: 0.7653 0.2347 0.0000  8 Tm 3.37-3.44, 1 Sc 3.71, 2 Er 3.76
Er: 0.7653 0.7653 0.5306  8 Tm 3.37-3.44, 1 Sc 3.71, 2 Er 3.76
Tm: 0.0738 0.2823 0.7915  1 Sc 3.14, 4 Tm 3.24-3.29, 4 Er 3.37-3.44
Tm: 0.2500 0.7500 0.5000  4 Tm 3.26
Tm: 0.2823 0.0738 0.7915  1 Sc 3.14, 4 Tm 3.24-3.29, 4 Er 3.37-3.44
Tm: 0.2823 0.4909 0.2085  1 Sc 3.14, 4 Tm 3.24-3.29, 4 Er 3.37-3.44
Tm: 0.4909 0.2823 0.2085  1 Sc 3.14, 4 Tm 3.24-3.29, 4 Er 3.37-3.44
Tm: 0.5091 0.7177 0.7915  1 Sc 3.14, 4 Tm 3.24-3.29, 4 Er 3.37-3.44
Tm: 0.7177 0.5091 0.7915  1 Sc 3.14, 4 Tm 3.24-3.29, 4 Er 3.37-3.44
Tm: 0.7177 0.9262 0.2085  1 Sc 3.14, 4 Tm 3.24-3.29, 4 Er 3.37-3.44
Tm: 0.7500 0.2500 0.5000  4 Tm 3.26
Tm: 0.9262 0.7177 0.2085  1 Sc 3.14, 4 Tm 3.24-3.29, 4 Er 3.37-3.44
Sc: 0.0000 0.0000 0.0000  8 Tm 3.14


[6]
RhSNCl2 after structural relaxation, computed with PBE.

Computed properties:
As for the total moment: 2.89 μB per formula unit. The value obtained for the uncorrected formation energy is 1.029 eV per atom. The value obtained for the distance to the lowest polymorph of the same formula is 0 meV per atom. Its theoretical density is 3.32 g/cm³. Its total energy is -18.35 eV per cell. The space group is P4/mmm (123).

Cell: 5.0112 5.0112 4.3769 Å, 90.00 90.00 90.00°
With the nearest neighbours (Å) after each atom.
Positions (direct):
Rh: 0.0000 0.0000 0.0000  2 S 2.19
S: 0.0000 0.0000 0.5000  2 Rh 2.19
N: 0.5000 0.5000 0.5000  8 Cl 3.33, 4 S 3.54
Cl: 0.0000 0.5000 0.0000  2 Rh 2.51
Cl: 0.5000 0.0000 0.0000  2 Rh 2.51


[7]
Tm2Sc6In after structural relaxation, computed with PBE.

Computed properties:
As for the total moment: 0.00 μB per formula unit. Its theoretical density is 5.17 g/cm³. Its total energy is -49.66 eV per cell. The space group is Immm (71). The formation enthalpy at 0 K comes out at 0.0 eV/f.u.

Cell: 8.9666 8.9666 8.9666 Å, 158.97 115.42 68.74°
With the nearest neighbours (Å) after each atom.
Positions (direct):
Tm: 0.1475 0.1475 0.0000  10 Sc 3.26-3.42, 2 Tm 3.27
Tm: 0.8525 0.8525 0.0000  10 Sc 3.26-3.42, 2 Tm 3.27
Sc: 0.1576 0.8208 0.3368  1 In 3.08, 7 Sc 3.13-3.34, 3 Tm 3.26-3.42
Sc: 0.2126 0.5000 0.7126  2 In 3.20, 6 Sc 3.27-3.34, 4 Tm 3.41
Sc: 0.4840 0.8208 0.6632  1 In 3.08, 7 Sc 3.13-3.34, 3 Tm 3.26-3.42
Sc: 0.5160 0.1792 0.3368  1 In 3.08, 7 Sc 3.13-3.34, 3 Tm 3.26-3.42
Sc: 0.7874 0.5000 0.2874  2 In 3.20, 6 Sc 3.27-3.34, 4 Tm 3.41
Sc: 0.8424 0.1792 0.6632  1 In 3.08, 7 Sc 3.13-3.34, 3 Tm 3.26-3.42
In: 0.5000 0.0000 0.5000  8 Sc 3.08-3.20, 2 In 3.27


[8]
RbOsBr2 after structural relaxation, computed with PBE.

Computed properties:
As for the total moment: 3.00 μB per formula unit. The value obtained for the uncorrected formation energy is 0.310 eV per atom. The value obtained for the distance to the lowest polymorph of the same formula is 42 meV per atom. Its theoretical density is 3.77 g/cm³. Its total energy is -14.30 eV per cell. The space group is R-3m (166).

Cell: 8.4976 8.4976 8.4976 Å, 36.24 36.24 36.24°
With the nearest neighbours (Å) after each atom.
Positions (direct):
Rb: 0.0000 0.0000 0.0000  6 Br 3.42
Os: 0.5000 0.5000 0.5000  2 Br 2.41
Br: 0.3985 0.3985 0.3985  1 Os 2.41
Br: 0.6015 0.6015 0.6015  1 Os 2.41


[9]
ZrNbGa2Tc after structural relaxation, computed with PBE.

Computed properties:
As for the total moment: 1.42 μB per formula unit. Its theoretical density is 6.42 g/cm³. Its total energy is -31.68 eV per cell. The space group is P4/mmm (123). The formation enthalpy at 0 K comes out at 3.4 eV/f.u.

Cell: 4.7183 4.7183 4.8962 Å, 90.00 90.00 90.00°
With the nearest neighbours (Å) after each atom.
Positions (direct):
Zr: 0.0000 0.0000 0.0000  2 Tc 2.45
Nb: 0.5000 0.5000 0.0000  4 Zr 3.34, 8 Ga 3.40
Ga: 0.0000 0.5000 0.5000  2 Tc 2.36
Ga: 0.5000 0.0000 0.5000  2 Tc 2.36
Tc: 0.0000 0.0000 0.5000  4 Ga 2.36, 2 Zr 2.45


[10]
Tb3Ho5Er after structural relaxation, computed with PBE.

Computed properties:
As for the total moment: 0.00 μB per formula unit. Its theoretical density is 8.21 g/cm³. Its total energy is -77.26 eV per cell. The space group is C2/c (15). The formation enthalpy at 0 K comes out at 2.7 eV/f.u.

Cell: 9.5214 9.5214 11.3393 Å, 110.56 110.56 38.50°
With the nearest neighbours (Å) after each atom.
Positions (direct):
Tb: 0.0000 0.0000 0.0000  2 Er 2.94
Tb: 0.0000 0.0000 0.5000  2 Er 2.94
Tb: 0.0087 0.6496 0.6260  4 Ho 3.17-3.50, 1 Tb 3.32, 1 Er 3.44
Tb: 0.3504 0.9913 0.8740  4 Ho 3.17-3.50, 1 Tb 3.32, 1 Er 3.44
Tb: 0.6496 0.0087 0.1260  4 Ho 3.17-3.50, 1 Tb 3.32, 1 Er 3.44
Tb: 0.9913 0.3504 0.3740  4 Ho 3.17-3.50, 1 Tb 3.32, 1 Er 3.44
Ho: 0.1211 0.5408 0.2873  3 Ho 3.34-3.53, 3 Tb 3.38-3.59, 1 Er 3.38
Ho: 0.1510 0.5307 0.9870  4 Ho 3.34-3.53, 4 Tb 3.42-3.67, 1 Er 3.48
Ho: 0.3967 0.6033 0.7500  2 Er 3.01-3.27, 2 Tb 3.17
Ho: 0.4592 0.8789 0.2127  3 Ho 3.34-3.53, 3 Tb 3.38-3.59, 1 Er 3.38
Ho: 0.4693 0.8490 0.5130  4 Ho 3.34-3.53, 4 Tb 3.42-3.67, 1 Er 3.48
Ho: 0.5307 0.1510 0.4870  4 Ho 3.34-3.53, 4 Tb 3.42-3.67, 1 Er 3.48
Ho: 0.5408 0.1211 0.7873  3 Ho 3.34-3.53, 3 Tb 3.38-3.59, 1 Er 3.38
Ho: 0.6033 0.3967 0.2500  2 Er 3.01-3.27, 2 Tb 3.17
Ho: 0.8490 0.4693 0.0130  4 Ho 3.34-3.53, 4 Tb 3.42-3.67, 1 Er 3.48
Ho: 0.8789 0.4592 0.7127  3 Ho 3.34-3.53, 3 Tb 3.38-3.59, 1 Er 3.38
Er: 0.1242 0.8758 0.2500  2 Tb 2.94, 2 Ho 3.01-3.27
Er: 0.8758 0.1242 0.7500  2 Tb 2.94, 2 Ho 3.01-3.27


[11]
ScZn2Br after structural relaxation, computed with PBE.

Computed properties:
As for the total moment: 0.00 μB per formula unit. The value obtained for the uncorrected formation energy is -0.301 eV per atom. The value obtained for the distance to the lowest polymorph of the same formula is 94 meV per atom. Its theoretical density is 5.12 g/cm³. Its total energy is -11.76 eV per cell. The space group is Cm (8).

Cell: 5.1507 5.1507 5.2557 Å, 109.31 109.31 39.40°
With the nearest neighbours (Å) after each atom.
Positions (direct):
Sc: 0.0000 0.0000 0.0000  3 Br 2.74, 3 Zn 2.90-3.05
Zn: 0.4940 0.4940 0.5543  3 Zn 2.70-2.84, 2 Sc 2.90, 1 Br 2.96
Zn: 0.7482 0.7482 0.4532  3 Zn 2.70-2.84
Br: 0.2804 0.2804 0.9909  3 Sc 2.74, 1 Zn 2.96


[12]
VTe after structural relaxation, computed with PBE.

Computed properties:
As for the total moment: 0.00 μB per formula unit. The value obtained for the uncorrected formation energy is -0.109 eV per atom. Its theoretical density is 5.54 g/cm³. Its total energy is -24.96 eV per cell. The space group is C2/m (12).

Cell: 3.9118 3.9118 7.2429 Å, 92.52 92.52 75.33°
With the nearest neighbours (Å) after each atom.
Positions (direct):
V: 0.1154 0.1154 0.4011  1 V 2.08
V: 0.8846 0.8846 0.5989  1 V 2.08
Te: 0.3020 0.3020 0.7462  4 V 2.68-2.74
Te: 0.6980 0.6980 0.2538  4 V 2.68-2.74